1.
# CsRb6Ag2

Crystalline CsRb6Ag2 at its relaxed geometry (PBE-GGA, the Alexandria database).

Results
The density of states at the Fermi level is 6.97 states/eV/f.u. For the formation energy, the calculation gives 0.055 eV per atom. Its symmetry is Immm.

a = 11.6817 Å, b = 11.6817 Å, c = 11.6817 Å
α = 110.82°, β = 109.43°, γ = 108.17°
Sites, in units of the cell vectors:
Cs: 0.0000 0.0000 0.0000
Cs: 0.5000 0.0000 0.5000
Rb: 0.0202 0.2466 0.7736
Rb: 0.1740 0.4830 0.3090
Rb: 0.1740 0.8650 0.6910
Rb: 0.3222 0.3139 0.6361
Rb: 0.3222 0.6861 0.0083
Rb: 0.4730 0.2466 0.2264
Rb: 0.5270 0.7534 0.7736
Rb: 0.6778 0.3139 0.9917
Rb: 0.6778 0.6861 0.3639
Rb: 0.8260 0.1350 0.3090
Rb: 0.8260 0.5170 0.6910
Rb: 0.9798 0.7534 0.2264
Ag: 0.1062 0.5000 0.6062
Ag: 0.3945 0.3945 0.0000
Ag: 0.6055 0.6055 0.0000
Ag: 0.8938 0.5000 0.3938

=====

2.
# KInBrF2

Crystalline KInBrF2 at its relaxed geometry (PBE-GGA, the Alexandria database).

Results
The uncorrected formation energy comes out at -1923 meV/atom. The density of states at the Fermi level is 0.89 states/eV/f.u. Its symmetry is P4/mmm.

a = 4.5985 Å, b = 4.5985 Å, c = 5.8429 Å
α = 90.00°, β = 90.00°, γ = 90.00°
Sites, in units of the cell vectors:
K: 0.0000 0.0000 0.0000
In: 0.5000 0.5000 0.5000
Br: 0.5000 0.5000 0.0000
F: 0.0000 0.5000 0.5000
F: 0.5000 0.0000 0.5000

=====

3.
# BaCoAu2

Crystalline BaCoAu2 at its relaxed geometry (PBE-GGA, the Alexandria database).

Results
The density of states at the Fermi level is 5.16 states/eV/f.u. The relative energy among the computed polymorphs is 0.407 eV per formula unit. For the formation energy, the calculation gives -0.092 eV per atom. Its symmetry is Pmm2.

a = 4.6145 Å, b = 4.7022 Å, c = 5.0844 Å
α = 90.00°, β = 90.00°, γ = 90.00°
Sites, in units of the cell vectors:
Ba: 0.0000 0.0000 0.0000
Co: 0.5000 0.5000 0.2924
Au: 0.5000 0.0000 0.4808
Au: 0.5000 0.5000 0.7999

=====

4.
# BaSb2S4

Crystalline BaSb2S4 at its relaxed geometry (PBE-GGA, the Alexandria database).

Results
The uncorrected formation energy comes out at -763 meV/atom. The density of states at the Fermi level is 0.04 states/eV/f.u. The relative energy among the computed polymorphs is 0.526 eV per formula unit. Its symmetry is Cmcm.

a = 6.9346 Å, b = 6.9346 Å, c = 13.7460 Å
α = 90.00°, β = 90.00°, γ = 145.82°
Sites, in units of the cell vectors:
Ba: 0.1090 0.8910 0.7500
Ba: 0.8910 0.1090 0.2500
Sb: 0.3662 0.6338 0.5681
Sb: 0.3662 0.6338 0.9319
Sb: 0.6338 0.3662 0.0681
Sb: 0.6338 0.3662 0.4319
S: 0.0000 0.0000 0.0000
S: 0.0000 0.0000 0.5000
S: 0.2653 0.7347 0.1106
S: 0.2653 0.7347 0.3894
S: 0.4339 0.5661 0.7500
S: 0.5661 0.4339 0.2500
S: 0.7347 0.2653 0.6106
S: 0.7347 0.2653 0.8894

=====

Number 1: uncorrected energy -1.3181 eV/atom, magnetic moment 0.0 Bohr magnetons per cell, mass density 2.33 Mg/m³. Number 2: uncorrected energy -3.7730 eV/atom, magnetic moment 0.0 Bohr magnetons per cell, mass density 3.65 Mg/m³. Number 3: uncorrected energy -3.9879 eV/atom, magnetic moment 1.6 Bohr magnetons per cell, mass density 8.88 Mg/m³. Number 4: uncorrected energy -4.5743 eV/atom, magnetic moment 0.0 Bohr magnetons per cell, mass density 4.55 Mg/m³.